# 1
Rb5Tl2Au: optimized geometry, PBE.

It has space group Cmcm (No. 63), with a = 4.889 Å, b = 15.793 Å, c = 23.063 Å, α = 90.00°, β = 90.00° and γ = 90.00°. The asymmetric unit holds Rb at (0.000, 0.057, 0.250), Rb at (0.000, 0.147, 0.060), Rb at (0.000, 0.402, 0.125), Tl at (0.000, 0.265, 0.679) and Au at (0.000, 0.271, 0.250).

The theoretical density comes out at 3.85 g/cm³. As for the formation energy: -0.09 eV/atom.

# 2
ZnH2IrSe: optimized geometry, PBE.

It has space group P4/mmm (No. 123), with a = 3.578 Å, b = 3.578 Å, c = 5.050 Å, α = 90.00°, β = 90.00° and γ = 90.00°. The asymmetric unit holds Zn at (0.000, 0.000, 0.000), H at (0.000, 0.500, 0.500), Ir at (0.500, 0.500, 0.500) and Se at (0.500, 0.500, 0.000).

The theoretical density comes out at 8.70 g/cm³. The total energy is -3.9263 eV/atom.

# 3
ZnGa3Re: optimized geometry, PBE.

It has space group C2/c (No. 15), with a = 15.803 Å, b = 8.944 Å, c = 5.236 Å, α = 90.00°, β = 109.21° and γ = 90.00°. The asymmetric unit holds Zn at (0.000, 0.199, 0.250), Zn at (0.000, 0.199, 0.750), Ga at (0.079, 0.437, 0.079), Ga at (0.114, 0.018, 0.114), Ga at (0.220, 0.246, 0.720) and Re at (0.227, 0.500, 0.476).

The calculation puts the energy above the most stable polymorph in this dataset at 0.0 meV/atom. The theoretical density comes out at 8.76 g/cm³. As for the formation energy: 0.06 eV/atom.

# 4
SrSbS2Cl: optimized geometry, PBE.

It has space group P4/mmm (No. 123), with a = 5.222 Å, b = 5.222 Å, c = 5.184 Å, α = 90.00°, β = 90.00° and γ = 90.00°. The asymmetric unit holds Sr at (0.000, 0.000, 0.000), Sb at (0.500, 0.500, 0.500), S at (0.000, 0.500, 0.500) and Cl at (0.500, 0.500, 0.000).

The calculation puts the energy above the most stable polymorph in this dataset at 348.4 meV/atom. The uncorrected formation energy is -899 meV/atom. The theoretical density comes out at 3.63 g/cm³.

# 5
Zn2RuSe: optimized geometry, PBE.

It has space group Pmmm (No. 47), with a = 3.505 Å, b = 3.988 Å, c = 4.460 Å, α = 90.00°, β = 90.00° and γ = 90.00°. The asymmetric unit holds Zn at (0.000, 0.000, 0.000), Zn at (0.500, 0.000, 0.500), Ru at (0.000, 0.500, 0.500) and Se at (0.500, 0.500, 0.000).

The uncorrected formation energy is 164 meV/atom. The theoretical density comes out at 8.28 g/cm³.

# 6
KCa2OsO5: optimized geometry, PBE.

It has space group Immm (No. 71), with a = 3.795 Å, b = 5.978 Å, c = 11.156 Å, α = 90.00°, β = 90.00° and γ = 90.00°. The asymmetric unit holds K at (0.000, 0.000, 0.000), Ca at (0.000, 0.500, 0.222), Os at (0.000, 0.000, 0.500), O at (0.000, 0.223, 0.365) and O at (0.000, 0.500, 0.000).

The uncorrected formation energy is -2018 meV/atom. The theoretical density comes out at 5.11 g/cm³.

> theoretical density of number 4 (SrSbS2Cl)?

3.63 g/cm³